## LiLaSe2 (PBE)

Data for a relaxed LiLaSe2 crystal.

Summary:
- Space-group type: R3m
- E_tot: -5.111 eV/atom
- D(E_F): 0.00 states/eV per cell
- Uncorrected formation energy: -1.6585 eV per atom
- Volume: 111.1 Å³/cell

Cell lengths 4.2671, 4.2671, 7.4653 Å; angles 73.39, 73.39, 60.00 degrees
Last column: nearest neighbours and their distance in Å.
Element x y z (fractional)
Se 0.0871 0.0871 0.7386  3 Li 2.83, 3 La 3.04
Se 0.2572 0.2572 0.2284  3 La 2.97, 3 Li 3.30
La 0.6693 0.6693 0.9922  6 Se 2.97-3.04
Li 0.4864 0.4864 0.5407  3 Se 2.83

---

## TcRuN2 (PBE)

Data for a relaxed TcRuN2 crystal.

Summary:
- Space-group type: Fm-3m
- Excess energy over the best structure of this formula in the dataset: 0.6430 eV per atom
- E_tot: -8.129 eV/atom
- D(E_F): 2.40 states/eV per cell
- Uncorrected formation energy: 0.9437 eV per atom
- Volume: 38.7 Å³/cell

Cell lengths 3.7960, 3.7960, 3.7960 Å; angles 60.00, 60.00, 60.00 degrees
Last column: nearest neighbours and their distance in Å.
Element x y z (fractional)
Tc 0.0000 0.0000 0.0000  8 N 2.32
Ru 0.5000 0.5000 0.5000  8 N 2.32
N 0.2500 0.2500 0.2500  4 Tc 2.32, 4 Ru 2.32
N 0.7500 0.7500 0.7500  4 Tc 2.32, 4 Ru 2.32

---

## Rb4Ti2P6Se25 (PBE)

Data for a relaxed Rb4Ti2P6Se25 crystal.

Summary:
- Space-group type: Fdd2
- E_tot: -4.269 eV/atom
- Uncorrected formation energy: -0.5063 eV per atom
- Volume: 2497.1 Å³/cell

Cell lengths 7.0324, 18.8346, 19.5095 Å; angles 88.07, 79.62, 79.24 degrees
Last column: nearest neighbours and their distance in Å.
Element x y z (fractional)
Se 0.5709 0.3520 0.5034  1 P 2.25
Se 0.1079 0.2756 0.9886  1 P 2.24
Se 0.7713 0.5369 0.8907  2 Se 2.35-2.37
Se 0.3099 0.4463 0.2174  1 P 2.31, 1 Se 2.37
Se 0.4263 0.6480 0.4966  1 P 2.25
Se 0.3343 0.7583 0.3589  1 P 2.23
Se 0.3436 0.8326 0.5310  1 P 2.24
Se 0.8464 0.7756 0.5114  1 P 2.24
Se 0.5725 0.1848 0.8184  1 P 2.16
Se 0.7072 0.1674 0.4690  1 P 2.24
Se 0.1538 0.6624 0.1887  1 P 2.15
Se 0.4432 0.2583 0.1411  1 P 2.23
Se 0.2774 0.9463 0.2826  1 P 2.31, 1 Se 2.37
Se 0.0006 0.1462 0.1157  1 P 2.24
Se 0.5073 0.3152 0.3184  1 P 2.16
Se 0.3720 0.7244 0.0114  1 P 2.24
Se 0.1988 0.4631 0.1093  2 Se 2.35-2.37
Se 0.1155 0.0000 0.0000  2 P 2.34
Se 0.2625 0.8538 0.8843  1 P 2.24
Se 0.7220 0.8437 0.3522  1 P 2.24
Se 0.5758 0.8152 0.1816  1 P 2.16
Se 0.9709 0.4607 0.9580  1 P 2.32, 1 Se 2.35
Se 0.8242 0.8520 0.9966  1 P 2.25
Se 0.8968 0.3538 0.6157  1 P 2.24
Se 0.1816 0.0393 0.4580  1 P 2.32, 1 Se 2.35
Se 0.8242 0.3437 0.1478  1 P 2.24
Se 0.3158 0.6563 0.8522  1 P 2.24
Se 0.6789 0.9607 0.5420  1 P 2.32, 1 Se 2.35
Se 0.6729 0.1480 0.0034  1 P 2.25
Se 0.0049 0.3376 0.8113  1 P 2.15
Se 0.4515 0.2417 0.6411  1 P 2.23
Se 0.4119 0.0369 0.6093  2 Se 2.35-2.37
Se 0.4367 0.4949 0.6395  1 P 2.14
Se 0.6246 0.3326 0.9690  1 P 2.24
Se 0.5662 0.8376 0.6887  1 P 2.15
Se 0.5062 0.0537 0.7174  1 P 2.31, 1 Se 2.37
Se 0.8262 0.9949 0.8605  1 P 2.14
Se 0.0581 0.9631 0.3907  2 Se 2.35-2.37
Se 0.1409 0.6848 0.6816  1 P 2.16
Se 0.9736 0.5537 0.7826  1 P 2.31, 1 Se 2.37
Se 0.9180 0.1563 0.6478  1 P 2.24
Se 0.8663 0.6462 0.3843  1 P 2.24
Se 0.0925 0.1624 0.3113  1 P 2.15
Se 0.9262 0.6674 0.0310  1 P 2.24
Se 0.8426 0.7417 0.8589  1 P 2.23
Se 0.1334 0.2244 0.4886  1 P 2.24
Se 0.5711 0.5051 0.3605  1 P 2.14
Se 0.6816 0.0051 0.1395  1 P 2.14
Se 0.3896 0.5393 0.0420  1 P 2.32, 1 Se 2.35
Se 0.8655 0.5000 0.5000  2 P 2.34
Ti 0.0918 0.7497 0.9388  6 Se 2.56-2.59
Ti 0.7806 0.2497 0.5612  6 Se 2.56-2.59
Ti 0.7803 0.2503 0.0612  6 Se 2.56-2.59
Ti 0.5915 0.7503 0.4388  6 Se 2.56-2.59
P 0.9862 0.9294 0.9304  4 Se 2.14-2.34
P 0.6656 0.5706 0.4304  4 Se 2.14-2.34
P 0.4848 0.8369 0.2916  4 Se 2.16-2.31
P 0.9275 0.3494 0.9225  4 Se 2.15-2.32
P 0.6000 0.8494 0.5775  4 Se 2.15-2.32
P 0.5265 0.3369 0.2084  4 Se 2.16-2.31
P 0.8460 0.0706 0.0696  4 Se 2.14-2.34
P 0.6134 0.1631 0.7084  4 Se 2.16-2.31
P 0.1994 0.6506 0.0775  4 Se 2.15-2.32
P 0.0718 0.6631 0.7916  4 Se 2.16-2.31
P 0.0269 0.1506 0.4225  4 Se 2.15-2.32
P 0.6666 0.4294 0.5696  4 Se 2.14-2.34
Rb 0.6255 0.1246 0.2835  7 Se 3.58-3.91
Rb 0.0711 0.8541 0.1498  8 Se 3.59-3.95, 1 P 4.01
Rb 0.6590 0.6246 0.2165  7 Se 3.58-3.91
Rb 0.5002 0.3754 0.7835  7 Se 3.58-3.91
Rb 0.0337 0.8754 0.7165  7 Se 3.58-3.91
Rb 0.9708 0.3541 0.3502  8 Se 3.59-3.95, 1 P 4.01
Rb 0.6751 0.6459 0.6498  8 Se 3.59-3.95, 1 P 4.01
Rb 0.0749 0.1459 0.8502  8 Se 3.59-3.95, 1 P 4.01

---

## BeCdAs2 (PBE)

Data for a relaxed BeCdAs2 crystal.

Summary:
- Space-group type: C2/m
- Excess energy over the best structure of this formula in the dataset: 0.3411 eV per atom
- E_tot: -3.080 eV/atom
- D(E_F): 1.75 states/eV per cell
- E_form: 1.62 eV per formula unit
- Volume: 76.0 Å³/cell

Cell lengths 5.3199, 4.5812, 4.1584 Å; angles 75.36, 69.74, 115.05 degrees
Last column: nearest neighbours and their distance in Å.
Element x y z (fractional)
Cd 0.5000 0.5000 0.0000  4 As 2.68, 2 Be 2.75
Be 0.0000 0.5000 0.5000  4 As 2.68, 2 Cd 2.75
As 0.0000 0.0000 0.0000  2 Cd 2.68, 2 Be 2.68, 2 As 2.75
As 0.5000 0.0000 0.5000  2 Be 2.68, 2 Cd 2.68, 2 As 2.75

---

Listing density for the structures above in their given order: 4.54 9.75 3.45 5.92 Mg/m³.